The following is a PBE calculation of a relaxed Y2AlTlAu crystal, from the Alexandria database.

Cell lengths 5.692, 5.130, 5.692 Å; angles 90.00, 90.00, 90.00 degrees
Sites, in units of the cell vectors:
Y1 0.000 0.000 0.500
Y2 0.500 0.000 0.000
Tl1 0.000 0.000 0.000
Au1 0.000 0.500 0.000
Al1 0.500 0.500 0.500

uncorrected energy: -3.941 eV/atom
space-group type: P4/mmm (123)
ΔH_f (0 K): 2.6 eV/f.u.

---

The following is a PBE calculation of a relaxed SmZnO crystal, from the Alexandria database.

Cell lengths 3.916, 4.095, 7.812 Å; angles 90.00, 104.51, 90.00 degrees
Sites, in units of the cell vectors:
Zn1 0.457 0.750 0.914
Zn2 0.543 0.250 0.086
O1 0.755 0.750 0.509
O2 0.245 0.250 0.491
Sm1 0.825 0.250 0.651
Sm2 0.175 0.750 0.349

uncorrected energy: -5.568 eV/atom
energy relative to the elements, uncorrected: -1.9176 eV per atom
space-group type: Cmcm (63)

---

The following is a PBE calculation of a relaxed Cs3Sn2GeBr9 crystal, from the Alexandria database.

Cell lengths 8.186, 8.186, 10.031 Å; angles 90.00, 90.00, 120.00 degrees
Sites, in units of the cell vectors:
Cs1 0.333 0.667 0.663
Cs2 0.000 0.000 0.000
Cs3 0.667 0.333 0.337
Sn1 0.333 0.667 0.174
Sn2 0.667 0.333 0.826
Ge1 0.000 0.000 0.500
Br1 0.838 0.162 0.661
Br2 0.838 0.677 0.661
Br3 0.323 0.162 0.661
Br4 0.677 0.838 0.339
Br5 0.162 0.323 0.339
Br6 0.162 0.838 0.339
Br7 0.500 0.000 0.000
Br8 0.000 0.500 0.000
Br9 0.500 0.500 0.000

uncorrected energy: -3.198 eV/atom
energy relative to the elements, uncorrected: -1.1820 eV per atom
space-group type: P-3m1 (164)

---

The following is a PBE calculation of a relaxed Ba2Sr2F7 crystal, from the Alexandria database.

Cell lengths 6.126, 6.192, 6.126 Å; angles 90.00, 91.82, 90.00 degrees
Each line ends with the local moment (μB).
Sites, in units of the cell vectors:
Ba1 0.743 0.500 0.743  0.07
Ba2 0.257 0.500 0.257  0.07
Sr1 0.734 0.000 0.266  0.01
Sr2 0.266 0.000 0.734  0.01
F1 0.000 0.240 0.500  0.00
F2 0.500 0.760 0.000  0.00
F3 0.000 0.760 0.500  0.00
F4 0.500 0.240 0.000  0.00
F5 0.000 0.000 0.000  0.01
F6 0.500 0.769 0.500  0.01
F7 0.500 0.231 0.500  0.01

uncorrected energy: -5.488 eV/atom
energy relative to the elements, uncorrected: -3.6422 eV per atom
space-group type: Cmmm (65)

---

The following is a PBE calculation of a relaxed SrLi3Nb crystal, from the Alexandria database.

Cell lengths 5.300, 5.300, 5.300 Å; angles 90.00, 90.00, 90.00 degrees
Each line ends with the local moment (μB).
Sites, in units of the cell vectors:
Sr1 0.500 0.500 0.500  0.04
Nb1 0.000 0.000 0.000  2.96
Li1 0.000 0.500 0.000  0.04
Li2 0.000 0.000 0.500  0.03
Li3 0.500 0.000 0.000  0.06

uncorrected energy: -2.673 eV/atom
distance to the lowest polymorph of the same formula: 0.0 meV/atom
space-group type: Pm-3m (221)
ΔH_f (0 K): 4.1 eV/f.u.

---

The following is a PBE calculation of a relaxed U2Zn16Hg crystal, from the Alexandria database.

Cell lengths 6.845, 6.845, 6.845 Å; angles 82.97, 82.97, 82.97 degrees
Each line ends with the local moment (μB).
Sites, in units of the cell vectors:
U1 0.658 0.658 0.658  2.54
U2 0.338 0.338 0.338  2.52
Zn1 0.699 0.000 0.302  0.01
Zn2 0.000 0.302 0.699  0.01
Zn3 0.302 0.699 0.000  0.01
Zn4 0.000 0.699 0.302  0.01
Zn5 0.699 0.302 0.000  0.01
Zn6 0.302 0.000 0.699  0.01
Zn7 0.352 0.838 0.352  0.01
Zn8 0.838 0.352 0.352  0.01
Zn9 0.352 0.352 0.838  0.01
Zn10 0.644 0.168 0.644  0.01
Zn11 0.168 0.644 0.644  0.01
Zn12 0.644 0.644 0.168  0.01
Zn13 0.006 0.490 0.006  0.00
Zn14 0.490 0.006 0.006  0.00
Zn15 0.006 0.006 0.490  0.00
Zn16 0.106 0.106 0.106  0.01
Hg1 0.898 0.898 0.898  0.01

uncorrected energy: -2.308 eV/atom
space-group type: R3m (160)
ΔH_f (0 K): -0.6 eV/f.u.

---

The following is a PBE calculation of a relaxed La6Sm2Ho3Mg crystal, from the Alexandria database.

Cell lengths 6.309, 6.309, 11.922 Å; angles 95.07, 95.07, 120.04 degrees
Sites, in units of the cell vectors:
La1 0.917 0.585 0.749
La2 0.752 0.752 0.252
La3 0.083 0.415 0.251
La4 0.585 0.917 0.749
La5 0.248 0.248 0.748
La6 0.415 0.083 0.251
Sm1 0.333 0.667 0.000
Sm2 0.667 0.333 0.000
Ho1 0.167 0.833 0.500
Ho2 0.833 0.167 0.500
Ho3 0.500 0.500 0.500
Mg1 0.000 0.000 0.000

uncorrected energy: -4.514 eV/atom
space-group type: C2/m (12)
ΔH_f (0 K): 0.2 eV/f.u.

---

The following is a PBE calculation of a relaxed TlAsAu2 crystal, from the Alexandria database.

Cell lengths 3.566, 3.983, 6.528 Å; angles 90.00, 90.00, 90.02 degrees
Sites, in units of the cell vectors:
Tl1 0.000 0.000 0.461
Au1 0.000 0.000 0.924
Au2 0.500 0.500 0.252
As1 0.500 0.500 0.862

uncorrected energy: -3.282 eV/atom
space-group type: Pmm2 (25)
ΔH_f (0 K): 0.4 eV/f.u.

---

The following is a PBE calculation of a relaxed Rb4Dy3SnTe8 crystal, from the Alexandria database.

Cell lengths 9.083, 10.025, 9.084 Å; angles 116.96, 120.00, 90.00 degrees
Sites, in units of the cell vectors:
Rb1 0.500 0.000 0.000
Rb2 0.500 0.000 0.500
Rb3 0.000 0.000 0.000
Rb4 0.000 0.000 0.500
Dy1 0.500 0.500 0.000
Dy2 0.500 0.500 0.500
Dy3 0.000 0.500 0.500
Sn1 0.000 0.500 0.000
Te1 0.233 0.697 0.964
Te2 0.233 0.697 0.465
Te3 0.267 0.300 0.533
Te4 0.731 0.697 0.964
Te5 0.269 0.303 0.036
Te6 0.733 0.700 0.467
Te7 0.767 0.303 0.535
Te8 0.767 0.303 0.036

uncorrected energy: -4.093 eV/atom
energy relative to the elements, uncorrected: -1.1668 eV per atom
space-group type: R-3m (166)

---

The following is a PBE calculation of a relaxed Th3MnSe6 crystal, from the Alexandria database.

Cell lengths 6.896, 9.030, 9.030 Å; angles 101.05, 90.00, 90.00 degrees
Each line ends with the local moment (μB).
Sites, in units of the cell vectors:
Th1 0.476 0.930 0.730  -0.08
Th2 0.976 0.730 0.930  -0.08
Th3 0.386 0.391 0.609  -0.01
Th4 0.886 0.609 0.391  -0.01
Th5 0.976 0.070 0.270  -0.08
Th6 0.476 0.270 0.070  -0.08
Mn1 0.033 0.191 0.809  3.83
Mn2 0.533 0.809 0.191  3.83
Se1 0.182 0.690 0.631  0.00
Se2 0.682 0.631 0.690  0.00
Se3 0.199 0.439 0.907  0.02
Se4 0.699 0.907 0.439  0.02
Se5 0.181 0.027 0.973  0.02
Se6 0.673 0.228 0.772  0.01
Se7 0.173 0.772 0.228  0.01
Se8 0.681 0.973 0.027  0.02
Se9 0.199 0.093 0.561  0.02
Se10 0.699 0.561 0.093  0.02
Se11 0.182 0.369 0.310  0.00
Se12 0.682 0.310 0.369  0.00

uncorrected energy: -6.676 eV/atom
energy relative to the elements, uncorrected: -1.4423 eV per atom
space-group type: Cmc2_1 (36)

---

The following is a PBE calculation of a relaxed AsIrCl2 crystal, from the Alexandria database.

Cell lengths 3.004, 3.004, 9.147 Å; angles 90.00, 90.00, 90.00 degrees
Each line ends with the local moment (μB).
Sites, in units of the cell vectors:
As1 0.500 0.500 0.750  -0.23
Ir1 0.500 0.500 0.250  1.78
Cl1 0.000 0.000 0.066  0.28
Cl2 0.000 0.000 0.434  0.28

uncorrected energy: -3.413 eV/atom
energy relative to the elements, uncorrected: 0.8878 eV per atom
distance to the lowest polymorph of the same formula: 1358.1 meV/atom
space-group type: P4/mmm (123)

---

The following is a PBE calculation of a relaxed YBeMo2As crystal, from the Alexandria database.

Cell lengths 5.002, 5.175, 5.002 Å; angles 90.00, 90.00, 90.00 degrees
Each line ends with the local moment (μB).
Sites, in units of the cell vectors:
Y1 0.000 0.000 0.000  -0.01
Be1 0.500 0.500 0.500  -0.07
Mo1 0.000 0.000 0.500  1.47
Mo2 0.500 0.000 0.000  1.92
As1 0.000 0.500 0.000  -0.07

uncorrected energy: -4.925 eV/atom
space-group type: P4/mmm (123)
ΔH_f (0 K): 11.9 eV/f.u.

---

The following is a PBE calculation of a relaxed Y2B2W crystal, from the Alexandria database.

Cell lengths 4.524, 4.524, 5.406 Å; angles 65.26, 65.26, 90.00 degrees
Sites, in units of the cell vectors:
Y1 0.346 0.346 0.307
Y2 0.654 0.654 0.693
B1 0.750 0.250 0.500
B2 0.250 0.750 0.500
W1 0.000 0.000 0.000

uncorrected energy: -6.582 eV/atom
distance to the lowest polymorph of the same formula: 211.8 meV/atom
space-group type: I4/mmm (139)
ΔH_f (0 K): 6.3 eV/f.u.

---

The following is a PBE calculation of a relaxed Ba2PRhI crystal, from the Alexandria database.

Cell lengths 6.205, 6.205, 4.473 Å; angles 90.00, 90.00, 90.00 degrees
Sites, in units of the cell vectors:
I1 0.500 0.500 0.500
P1 0.000 0.000 0.500
Rh1 0.000 0.000 0.000
Ba1 0.000 0.500 0.000
Ba2 0.500 0.000 0.000

uncorrected energy: -4.626 eV/atom
energy relative to the elements, uncorrected: -0.9941 eV per atom
distance to the lowest polymorph of the same formula: 0.0 meV/atom
space-group type: P4/mmm (123)

---

The following is a PBE calculation of a relaxed Tc2TeIr crystal, from the Alexandria database.

Cell lengths 4.545, 4.545, 4.545 Å; angles 60.00, 60.00, 60.00 degrees
Each line ends with the local moment (μB).
Sites, in units of the cell vectors:
Ir1 0.500 0.500 0.500  0.58
Tc1 0.000 0.000 0.000  0.26
Tc2 0.750 0.750 0.750  1.34
Te1 0.250 0.250 0.250  0.03

uncorrected energy: -7.575 eV/atom
energy relative to the elements, uncorrected: 0.6089 eV per atom
space-group type: F-43m (216)

---

The following is a PBE calculation of a relaxed UTlIn2Cl8 crystal, from the Alexandria database.

Cell lengths 7.109, 7.112, 9.254 Å; angles 89.91, 90.07, 91.76 degrees
Each line ends with the local moment (μB).
Sites, in units of the cell vectors:
U1 0.000 0.000 0.000  1.18
Tl1 0.000 0.000 0.500  0.00
In1 0.500 0.500 0.730  -0.01
In2 0.500 0.500 0.270  -0.01
Cl1 0.126 0.786 0.198  -0.03
Cl2 0.695 0.811 0.999  -0.03
Cl3 0.873 0.214 0.197  -0.03
Cl4 0.874 0.214 0.802  -0.03
Cl5 0.305 0.189 0.001  -0.03
Cl6 0.127 0.786 0.803  -0.03
Cl7 0.657 0.713 0.500  -0.01
Cl8 0.343 0.287 0.500  -0.01

uncorrected energy: -4.106 eV/atom
energy relative to the elements, uncorrected: -1.2810 eV per atom
space-group type: P-1 (2)

---

The following is a PBE calculation of a relaxed CsSi2NiTe8 crystal, from the Alexandria database.

Cell lengths 6.350, 6.350, 13.297 Å; angles 76.19, 76.19, 60.00 degrees
Sites, in units of the cell vectors:
Cs1 0.500 0.500 0.500
Si1 0.267 0.267 0.200
Si2 0.733 0.733 0.800
Ni1 0.000 0.000 0.000
Te1 0.203 0.203 0.391
Te2 0.675 0.295 0.130
Te3 0.797 0.797 0.609
Te4 0.899 0.675 0.130
Te5 0.101 0.325 0.870
Te6 0.295 0.899 0.130
Te7 0.705 0.101 0.870
Te8 0.325 0.705 0.870

uncorrected energy: -3.638 eV/atom
energy relative to the elements, uncorrected: -0.0868 eV per atom
space-group type: R-3 (148)

---

The following is a PBE calculation of a relaxed YHoZrSc crystal, from the Alexandria database.

Cell lengths 5.374, 5.374, 5.374 Å; angles 60.00, 60.00, 60.00 degrees
Each line ends with the local moment (μB).
Sites, in units of the cell vectors:
Y1 0.750 0.750 0.750  0.10
Sc1 0.000 0.000 0.000  0.32
Ho1 0.500 0.500 0.500  0.30
Zr1 0.250 0.250 0.250  0.71

uncorrected energy: -6.283 eV/atom
distance to the lowest polymorph of the same formula: 111.6 meV/atom
space-group type: F-43m (216)
ΔH_f (0 K): 0.8 eV/f.u.

---

The following is a PBE calculation of a relaxed Hf3TaZn crystal, from the Alexandria database.

Cell lengths 4.862, 4.862, 4.862 Å; angles 90.00, 90.00, 90.00 degrees
Each line ends with the local moment (μB).
Sites, in units of the cell vectors:
Zn1 0.000 0.000 0.000  0.09
Hf1 0.000 0.500 0.000  0.24
Hf2 0.000 0.000 0.500  0.25
Hf3 0.500 0.000 0.000  0.23
Ta1 0.500 0.500 0.500  0.55

uncorrected energy: -7.623 eV/atom
distance to the lowest polymorph of the same formula: 0.0 meV/atom
space-group type: Pm-3m (221)
ΔH_f (0 K): 4.9 eV/f.u.

---

The following is a PBE calculation of a relaxed MnAl2Mo crystal, from the Alexandria database.

Cell lengths 2.710, 2.710, 8.087 Å; angles 90.00, 90.00, 93.97 degrees
Each line ends with the local moment (μB).
Sites, in units of the cell vectors:
Mo1 0.500 0.500 0.740  -0.01
Mn1 0.000 0.000 0.493  2.31
Al1 0.000 0.000 0.993  0.01
Al2 0.500 0.500 0.274  -0.04

uncorrected energy: -6.877 eV/atom
space-group type: Cmm2 (35)
ΔH_f (0 K): 0.0 eV/f.u.

---

Across the entries above, V takes the values 166.2; 121.3; 582.2; 232.3; 148.9; 314.1; 404.3; 92.7; 610.4; 551.9; 82.5; 129.5; 89.2; 172.2; 66.4; 467.7; 446.3; 109.7; 114.9; 59.2 Å³/cell, respectively.